The following is a DFT calculation (PBE-GGA) of a relaxed CaTaSe crystal.

Fermi-level density of states = 4.08 states/eV/cell
energy above the most stable polymorph in this dataset = 551.4 meV/atom
E_form (uncorrected) = 0.02 eV/atom
E_tot = -17.3 eV per cell
SG = P-6m2
M_tot = 0.00 μB/f.u.

Cell lengths 4.412, 4.412, 4.203 Å; angles 90.00, 90.00, 120.00 degrees
Fractional coordinates of all 3 atoms:
Ca: 0.000 0.000 0.000
Se: 0.667 0.333 0.500
Ta: 0.333 0.667 0.500